This record from Alexandria describes a relaxed Ac4Sb2AsBr crystal. The functional is PBE.

Lattice parameters (Å, degrees): 4.698 8.002 8.137 70.31 90.00 90.00
Fractional coordinates of all 8 atoms:
1 Ac 0.000 0.250 0.263
2 Sb 0.000 0.000 0.000
3 As 0.000 0.500 0.500
4 Ac 0.500 0.260 0.735
5 Sb 0.500 0.000 0.500
6 Ac 0.500 0.740 0.265
7 Ac 0.000 0.750 0.737
8 Br 0.500 0.500 0.000

Properties
**Raw formation energy**: -1318 meV/atom
**Crystal system**: monoclinic
**ρ**: 7.53 Mg/m³
**Energy**: -5.193 eV per atom

***

This record from Alexandria describes a relaxed LiAgHgSe crystal. The functional is PBE.

Lattice parameters (Å, degrees): 4.867 4.867 4.867 60.00 60.00 60.00
Fractional coordinates of all 4 atoms:
1 Se 0.000 0.000 0.000
2 Hg 0.500 0.500 0.500
3 Li 0.750 0.750 0.750
4 Ag 0.250 0.250 0.250

Properties
**Raw formation energy**: -310 meV/atom
**Crystal system**: cubic
**ρ**: 8.03 Mg/m³
**Energy**: -2.448 eV per atom

***

This record from Alexandria describes a relaxed NaPmPu2Se4 crystal. The functional is PBE.

Lattice parameters (Å, degrees): 4.184 7.309 7.245 109.61 90.00 90.00
Last column: magnetic moment on the atom in μB.
Fractional coordinates of all 8 atoms:
1 Pm 0.000 0.000 0.000  -0.01
2 Se 0.500 0.252 0.253  -0.02
3 Se 0.500 0.748 0.747  -0.02
4 Na 0.500 0.500 0.000  0.00
5 Se 0.000 0.244 0.745  0.03
6 Pu 0.500 0.000 0.500  -5.29
7 Pu 0.000 0.500 0.500  5.37
8 Se 0.000 0.756 0.255  0.03

Properties
**Raw formation energy**: -1549 meV/atom
**Crystal system**: monoclinic
**ρ**: 7.73 Mg/m³
**Energy**: -7.633 eV per atom

***

This record from Alexandria describes a relaxed Li6Cd10Au crystal. The functional is PBE.

Lattice parameters (Å, degrees): 5.887 8.022 8.022 120.00 90.00 90.00
Fractional coordinates of all 17 atoms:
1 Li 0.673 0.000 0.647
2 Cd 0.822 0.000 0.282
3 Li 0.327 0.647 0.647
4 Cd 0.000 0.333 0.667
5 Cd 0.178 0.282 0.282
6 Li 0.673 0.647 0.000
7 Au 0.500 0.000 0.000
8 Li 0.673 0.353 0.353
9 Cd 0.500 0.333 0.667
10 Cd 0.178 0.718 0.000
11 Cd 0.500 0.667 0.333
12 Cd 0.822 0.282 0.000
13 Cd 0.178 0.000 0.718
14 Li 0.327 0.353 0.000
15 Li 0.327 0.000 0.353
16 Cd 0.822 0.718 0.718
17 Cd 0.000 0.667 0.333

Properties
**Crystal system**: trigonal
**Calculated formation energy**: -0.212 eV per atom
**ρ**: 6.90 Mg/m³
**Energy**: -1.618 eV per atom

***

Q: The highest energy belongs to which entry?
A: Li6Cd10Au

***

Q: Look up the energy of the fourth one.
A: -1.618 eV per atom

***

Q: ρ of number 3 (NaPmPu2Se4)?
A: 7.73 Mg/m³

***

Q: Among the records above, which one has the highest ρ?
A: LiAgHgSe